The following is a DFT calculation (PBE) of AcEuAu2 after structural relaxation.

Results
Density   11.400 g cm⁻³
ΔH_f (0 K)   -790 meV/atom
Calculated total energy   -24.1 eV for the cell shown

Cell: 5.420 5.420 5.420 Å, 60.00 60.00 60.00°
Site moments in Bohr magnetons follow the coordinates.
Element x y z (fractional)
Au: 0.750 0.750 0.750  0.00
Au: 0.250 0.250 0.250  0.00
Ac: 0.500 0.500 0.500  0.01
Eu: 0.000 0.000 0.000  6.83